No. 1
Compound: KDyPb
Source: Alexandria
Functional: PBE-GGA
Structure: optimized geometry

extended XYZ file:
```
6
Lattice="-3.114 -0.122 -4.293 2.108 -0.917 -4.780 -1.746 -10.417 -1.715" Properties=species:S:1:pos:R:3 pbc="T T T"
Dy -0.491 -1.462 -2.879
Dy -2.260 -9.994 -7.909
K -1.214 -6.623 -2.209
K -1.537 -4.832 -8.580
Pb -1.804 -8.789 -4.996
Pb -0.947 -2.667 -5.792
```

Properties
DOS at the Fermi energy (states/eV/f.u.): 0.12
Spin magnetization (μB/cell): 0.00
Energy of formation (eV/atom): -0.1271
Electronic total energy (Ry/atom): -0.2398
V (Å³/cell): 249.85

No. 2
Compound: KDy4Pb5
Source: Alexandria
Functional: PBE-GGA
Structure: optimized geometry

extended XYZ file:
```
10
Lattice="4.061 0.000 0.000 0.000 4.061 0.000 0.000 0.000 18.463" Properties=species:S:1:pos:R:3 pbc="T T T"
K 0.000 0.000 0.000
Dy 0.000 0.000 4.035
Dy 0.000 0.000 7.512
Dy 0.000 0.000 10.950
Dy 0.000 0.000 14.428
Pb 2.030 2.030 2.445
Pb 2.030 2.030 5.786
Pb 2.030 2.030 9.231
Pb 2.030 2.030 12.677
Pb 2.030 2.030 16.017
```

Properties
DOS at the Fermi energy (states/eV/f.u.): 8.13
Spin magnetization (μB/cell): 0.72
Energy of formation (eV/atom): -0.3550
Electronic total energy (Ry/atom): -0.3057
V (Å³/cell): 304.45

No. 3
Compound: KDy2Pb3Se6
Source: Alexandria
Functional: PBE-GGA
Structure: optimized geometry

extended XYZ file:
```
12
Lattice="4.131 0.000 0.000 0.000 9.351 0.515 -2.066 -2.499 9.029" Properties=species:S:1:pos:R:3 pbc="T T T"
K 2.066 0.000 0.000
Dy 2.066 4.547 6.340
Dy 0.000 2.305 3.204
Pb 2.066 4.675 0.257
Pb 2.066 -0.142 6.236
Pb 0.000 6.994 3.308
Se 0.000 6.564 6.224
Se 2.066 4.353 3.373
Se 2.066 0.288 3.319
Se 0.000 2.451 0.404
Se 2.066 4.402 9.140
Se 0.000 2.499 6.171
```

Properties
DOS at the Fermi energy (states/eV/f.u.): 3.50
Spin magnetization (μB/cell): 0.00
E_form (uncorrected) (eV/atom): -1.101
Electronic total energy (Ry/atom): -0.3402
V (Å³/cell): 354.10

No. 4
Compound: KPm2Dy
Source: Alexandria
Functional: PBE-GGA
Structure: optimized geometry

extended XYZ file:
```
4
Lattice="3.641 0.000 0.000 1.820 3.153 0.000 1.820 1.051 13.374" Properties=species:S:1:pos:R:3 pbc="T T T"
K 0.000 0.000 0.000
Pm 1.820 1.051 9.535
Pm 5.461 3.153 3.838
Dy 3.641 2.102 6.687
```

Properties
DOS at the Fermi energy (states/eV/f.u.): 4.46
Spin magnetization (μB/cell): 0.00
Energy of formation (eV/atom): 0.1996
Electronic total energy (Ry/atom): -0.2646
V (Å³/cell): 153.50

No. 5
Compound: KPm4DyS8
Source: Alexandria
Functional: PBE-GGA
Structure: optimized geometry

extended XYZ file:
```
14
Lattice="8.425 0.000 0.000 4.213 7.296 0.000 4.213 2.432 6.778" Properties=species:S:1:pos:R:3 pbc="T T T"
K 8.425 4.864 5.881
Pm 8.425 4.864 0.861
Pm 4.213 4.783 3.417
Pm 6.248 1.257 3.417
Pm 2.177 1.257 3.417
Dy 4.213 2.432 6.689
S 8.425 7.636 5.024
S 10.826 3.478 5.024
S 6.025 3.478 5.024
S 4.213 2.432 2.004
S 8.425 2.259 1.715
S 6.169 6.167 1.715
S 10.681 6.167 1.715
S 12.638 7.296 4.930
```

Properties
DOS at the Fermi energy (states/eV/f.u.): 0.00
Spin magnetization (μB/cell): 0.00
E_form (uncorrected) (eV/atom): -1.922
Electronic total energy (Ry/atom): -0.4443
V (Å³/cell): 416.67

No. 6
Compound: KPmDy4S8
Source: Alexandria
Functional: PBE-GGA
Structure: optimized geometry

extended XYZ file:
```
14
Lattice="8.215 0.000 0.000 4.107 7.114 0.000 4.107 2.371 6.812" Properties=species:S:1:pos:R:3 pbc="T T T"
K 8.215 4.743 6.014
Pm 4.107 2.371 6.722
Dy 8.215 4.743 0.842
Dy 4.107 4.659 3.436
Dy 6.089 1.227 3.436
Dy 2.126 1.227 3.436
S 8.215 7.399 4.946
S 10.515 3.414 4.946
S 5.914 3.414 4.946
S 4.107 2.371 2.058
S 8.215 2.257 1.783
S 6.062 5.985 1.783
S 10.367 5.985 1.783
S 12.322 7.114 4.960
```

Properties
DOS at the Fermi energy (states/eV/f.u.): 0.00
Spin magnetization (μB/cell): 0.00
E_form (uncorrected) (eV/atom): -1.929
Electronic total energy (Ry/atom): -0.4425
V (Å³/cell): 398.10

No. 7
Compound: KPm2Dy3Se6
Source: Alexandria
Functional: PBE-GGA
Structure: optimized geometry

extended XYZ file:
```
12
Lattice="-3.263 1.115 -2.263 3.251 -4.104 -6.711 -3.483 -6.873 5.394" Properties=species:S:1:pos:R:3 pbc="T T T"
K -1.632 0.558 -1.131
Pm -2.867 -6.265 -2.713
Pm -0.629 -3.596 -0.866
Dy -0.006 -1.494 -4.487
Dy -4.490 -4.398 0.548
Dy 0.995 -5.463 -4.128
Se -0.344 -7.903 -3.399
Se -1.368 -3.913 -3.715
Se -3.151 -1.959 -0.181
Se -5.871 -6.856 1.329
Se 2.376 -3.006 -4.908
Se -2.127 -5.949 0.136
```

Properties
DOS at the Fermi energy (states/eV/f.u.): 3.54
Spin magnetization (μB/cell): 0.00
E_form (uncorrected) (eV/atom): -1.761
Electronic total energy (Ry/atom): -0.4070
V (Å³/cell): 312.18

No. 8
Compound: K4Pm3DySe8
Source: Alexandria
Functional: PBE-GGA
Structure: optimized geometry

extended XYZ file:
```
16
Lattice="8.587 0.000 0.000 0.000 9.149 0.388 -4.294 -4.290 6.076" Properties=species:S:1:pos:R:3 pbc="T T T"
K 4.294 0.000 0.000
K 2.147 -2.145 3.038
K 0.000 0.000 0.000
K -2.147 -2.145 3.038
Pm 4.294 4.574 0.194
Pm 2.147 2.430 3.232
Pm -2.147 2.430 3.232
Dy 0.000 4.574 0.194
Se -2.183 2.294 6.197
Se 0.000 4.475 3.108
Se 0.000 0.391 3.309
Se 2.183 2.294 6.197
Se 2.111 2.565 0.266
Se 4.294 4.468 3.154
Se 4.294 0.384 3.356
Se 6.477 2.565 0.266
```

Properties
DOS at the Fermi energy (states/eV/f.u.): 0.00
Spin magnetization (μB/cell): 0.00
E_form (uncorrected) (eV/atom): -1.759
Electronic total energy (Ry/atom): -0.3641
V (Å³/cell): 491.61

No. 9
Compound: KPm2DySe4
Source: Alexandria
Functional: PBE-GGA
Structure: optimized geometry

extended XYZ file:
```
8
Lattice="4.183 0.000 0.000 0.000 7.363 -0.196 0.000 2.543 6.944" Properties=species:S:1:pos:R:3 pbc="T T T"
K 2.092 3.682 -0.098
Pm 0.000 2.543 6.944
Pm 2.092 1.271 3.472
Dy 0.000 4.953 3.374
Se 0.000 7.452 4.944
Se 4.183 2.454 1.805
Se 2.092 6.163 1.671
Se 2.092 3.744 5.077
```

Properties
DOS at the Fermi energy (states/eV/f.u.): 2.83
Spin magnetization (μB/cell): 0.00
E_form (uncorrected) (eV/atom): -1.726
Electronic total energy (Ry/atom): -0.3946
V (Å³/cell): 216.00

No. 10
Compound: K3Pm2DySe6
Source: Alexandria
Functional: PBE-GGA
Structure: optimized geometry

extended XYZ file:
```
12
Lattice="7.422 -0.001 0.000 -3.710 6.428 0.000 -1.238 -2.143 7.697" Properties=species:S:1:pos:R:3 pbc="T T T"
K -2.461 4.278 3.848
K 4.935 0.006 3.848
K 1.237 2.142 3.848
Pm 0.002 4.284 0.000
Pm 3.710 2.143 0.000
Dy 0.000 0.000 0.000
Se 3.688 2.181 6.096
Se 2.498 4.325 1.602
Se -1.214 2.103 1.601
Se 0.046 4.284 6.096
Se -0.024 -0.041 6.094
Se 2.428 -0.001 1.601
```

Properties
DOS at the Fermi energy (states/eV/f.u.): 0.00
Spin magnetization (μB/cell): 0.00
E_form (uncorrected) (eV/atom): -1.760
Electronic total energy (Ry/atom): -0.3640
V (Å³/cell): 367.13

No. 11
Compound: KPmDy4Se8
Source: Alexandria
Functional: PBE-GGA
Structure: optimized geometry

extended XYZ file:
```
14
Lattice="-0.431 -0.365 -8.556 -7.572 -1.109 -3.868 -3.571 6.561 -4.397" Properties=species:S:1:pos:R:3 pbc="T T T"
K -6.134 5.252 -8.508
Pm -3.557 6.458 -4.393
Dy -5.446 -0.116 -8.314
Dy -5.485 2.770 -4.138
Dy -2.046 3.129 -6.396
Dy -1.839 3.304 -2.276
Se -8.715 3.803 -8.316
Se -4.750 4.217 -10.919
Se -4.511 4.419 -6.169
Se -2.938 1.619 -4.218
Se -2.999 1.187 -8.493
Se -6.745 0.796 -6.033
Se -6.971 0.605 -10.522
Se -8.660 3.655 -12.610
```

Properties
DOS at the Fermi energy (states/eV/f.u.): 0.00
Spin magnetization (μB/cell): 0.00
E_form (uncorrected) (eV/atom): -1.748
Electronic total energy (Ry/atom): -0.4022
V (Å³/cell): 453.00

No. 12
Compound: K3Pm3DySe8
Source: Alexandria
Functional: PBE-GGA
Structure: optimized geometry

extended XYZ file:
```
15
Lattice="8.509 0.000 0.000 -4.254 7.376 -0.031 0.000 -4.889 7.859" Properties=species:S:1:pos:R:3 pbc="T T T"
K 0.000 0.000 0.000
K -2.127 3.688 -0.015
K 2.127 3.688 -0.015
Pm 4.254 -2.445 3.929
Pm 2.127 1.243 3.914
Pm -2.127 1.243 3.914
Dy 0.000 -2.445 3.929
Se 0.000 2.466 2.260
Se 4.254 0.021 5.568
Se 4.254 2.514 2.313
Se 0.000 -0.028 5.515
Se 6.423 -1.246 2.328
Se -2.169 3.733 5.500
Se 2.085 -1.246 2.328
Se 2.169 3.733 5.500
```

Properties
DOS at the Fermi energy (states/eV/f.u.): 10.12
Spin magnetization (μB/cell): 0.00
E_form (uncorrected) (eV/atom): -1.668
Electronic total energy (Ry/atom): -0.3677
V (Å³/cell): 491.90

No. 13
Compound: K3PmDy2Se6
Source: Alexandria
Functional: PBE-GGA
Structure: optimized geometry

extended XYZ file:
```
12
Lattice="7.359 -0.001 0.000 -3.679 6.374 0.000 -1.227 -2.125 7.690" Properties=species:S:1:pos:R:3 pbc="T T T"
K -2.464 4.255 3.845
K 4.917 -0.008 3.845
K 1.226 2.124 3.845
Pm 0.000 0.000 0.000
Dy -0.001 4.249 0.000
Dy 3.681 2.123 0.000
Se 3.702 2.083 6.101
Se 2.431 4.208 1.588
Se -1.249 2.164 1.589
Se -0.046 4.247 6.101
Se 0.022 0.039 6.102
Se 2.499 0.000 1.589
```

Properties
DOS at the Fermi energy (states/eV/f.u.): 0.00
Spin magnetization (μB/cell): 0.00
E_form (uncorrected) (eV/atom): -1.762
Electronic total energy (Ry/atom): -0.3632
V (Å³/cell): 360.64

No. 14
Compound: K4Pm3DyTe8
Source: Alexandria
Functional: PBE-GGA
Structure: optimized geometry

extended XYZ file:
```
16
Lattice="-4.346 -4.758 6.476 4.369 -8.204 -3.095 5.325 7.055 2.313" Properties=species:S:1:pos:R:3 pbc="T T T"
K -2.173 -2.379 3.238
K 0.489 1.149 4.394
K 0.000 0.000 0.000
K 2.662 3.528 1.156
Pm 0.012 -6.481 1.690
Pm 2.674 -2.953 2.847
Pm 4.847 -0.574 -0.391
Dy 2.185 -4.102 -1.548
Te 7.292 -0.059 1.577
Te 4.587 -3.643 0.402
Te 2.899 0.104 2.022
Te 5.084 -2.476 4.866
Te 0.264 -3.431 0.827
Te 2.448 -6.011 3.671
Te 0.761 -2.264 5.291
Te -1.944 -5.848 4.117
```

Properties
Spin magnetization (μB/cell): 0.00
E_form (uncorrected) (eV/atom): -1.411
Electronic total energy (Ry/atom): -0.3259
V (Å³/cell): 596.57

No. 15
Compound: KPm2DyTe4
Source: Alexandria
Functional: PBE-GGA
Structure: optimized geometry

extended XYZ file:
```
8
Lattice="4.452 0.000 0.000 0.000 7.861 -0.221 0.000 2.703 7.400" Properties=species:S:1:pos:R:3 pbc="T T T"
K 2.226 3.931 -0.111
Pm 0.000 2.703 7.400
Pm 2.226 1.352 3.700
Dy 0.000 5.282 3.589
Te 0.000 7.946 5.274
Te 4.452 2.619 1.904
Te 2.226 6.579 1.760
Te 2.226 3.986 5.418
```

Properties
DOS at the Fermi energy (states/eV/f.u.): 3.35
Spin magnetization (μB/cell): 0.00
E_form (uncorrected) (eV/atom): -1.341
Electronic total energy (Ry/atom): -0.3537
V (Å³/cell): 261.64

No. 16
Compound: K3Pm3DyTe8
Source: Alexandria
Functional: PBE-GGA
Structure: optimized geometry

extended XYZ file:
```
15
Lattice="8.964 0.000 0.000 -4.481 7.768 -0.034 0.000 -5.144 8.527" Properties=species:S:1:pos:R:3 pbc="T T T"
K 0.000 0.000 0.000
K -2.241 3.884 -0.017
K 2.241 3.884 -0.017
Pm 4.482 -2.572 4.264
Pm 2.241 1.313 4.246
Pm -2.241 1.312 4.246
Dy 0.000 -2.572 4.264
Te 0.000 2.599 2.418
Te 4.482 0.026 6.075
Te 4.482 2.636 2.458
Te 0.000 -0.011 6.035
Te 6.754 -1.303 2.476
Te -2.272 3.928 6.017
Te 2.210 -1.303 2.476
Te 2.273 3.928 6.017
```

Properties
DOS at the Fermi energy (states/eV/f.u.): 7.67
Spin magnetization (μB/cell): 0.00
E_form (uncorrected) (eV/atom): -1.327
Electronic total energy (Ry/atom): -0.3292
V (Å³/cell): 592.21

No. 17
Compound: K2PrDyS4
Source: Alexandria
Functional: PBE-GGA
Structure: optimized geometry

extended XYZ file:
```
8
Lattice="-2.245 -2.983 1.791 1.371 -4.355 -5.536 5.593 -1.031 5.293" Properties=species:S:1:pos:R:3 pbc="T T T"
K 1.674 -2.007 3.542
K 3.482 -2.693 -0.121
Pr 0.000 0.000 0.000
Dy -0.437 -3.669 -1.872
S 0.371 -2.772 0.635
S 4.348 -5.598 0.913
S 4.834 -2.017 2.699
S 2.130 -3.369 -2.942
```

Properties
DOS at the Fermi energy (states/eV/f.u.): 0.00
Spin magnetization (μB/cell): 0.00
E_form (uncorrected) (eV/atom): -1.859
Electronic total energy (Ry/atom): -0.3947
V (Å³/cell): 219.65

No. 18
Compound: K2PrDySe4
Source: Alexandria
Functional: PBE-GGA
Structure: optimized geometry

extended XYZ file:
```
8
Lattice="4.298 0.000 0.000 0.000 7.446 0.128 0.000 -2.612 7.657" Properties=species:S:1:pos:R:3 pbc="T T T"
K 2.149 -1.306 3.829
K 0.000 2.417 3.893
Pr 0.000 0.000 0.000
Dy 2.149 3.723 0.064
Se 2.149 1.279 1.643
Se 2.149 3.555 6.142
Se 0.000 -0.039 6.111
Se 0.000 4.873 1.674
```

Properties
DOS at the Fermi energy (states/eV/f.u.): 0.00
Spin magnetization (μB/cell): 0.00
E_form (uncorrected) (eV/atom): -1.752
Electronic total energy (Ry/atom): -0.3632
V (Å³/cell): 246.49

No. 19
Compound: K3Pr2DySe6
Source: Alexandria
Functional: PBE-GGA
Structure: optimized geometry

extended XYZ file:
```
12
Lattice="-3.574 2.155 6.223 3.817 -6.448 -0.087 6.248 5.147 0.301" Properties=species:S:1:pos:R:3 pbc="T T T"
K 5.699 -2.429 1.124
K 0.792 3.283 5.314
K 3.245 0.427 3.219
Pr 1.352 -3.579 2.018
Pr -1.109 -0.714 4.119
Dy 0.000 0.000 0.000
Se 3.927 2.163 5.974
Se 1.492 -2.123 4.642
Se 2.564 -1.309 0.464
Se 6.321 -0.623 3.930
Se 4.999 2.978 1.795
Se 0.170 1.478 2.507
```

Properties
DOS at the Fermi energy (states/eV/f.u.): 0.00
Spin magnetization (μB/cell): 0.00
E_form (uncorrected) (eV/atom): -1.752
Electronic total energy (Ry/atom): -0.3637
V (Å³/cell): 374.65

No. 20
Compound: KPrDy2Se4
Source: Alexandria
Functional: PBE-GGA
Structure: optimized geometry

extended XYZ file:
```
8
Lattice="-0.989 0.849 3.935 5.590 -4.296 2.332 6.007 4.160 0.613" Properties=species:S:1:pos:R:3 pbc="T T T"
K 5.799 -0.068 1.472
Pr 2.301 -1.724 3.133
Dy 6.007 4.160 0.613
Dy 2.509 2.504 2.274
Se 8.785 -0.197 2.251
Se 1.823 0.909 4.629
Se 5.255 -1.928 3.920
Se 5.353 2.640 2.959
```

Properties
DOS at the Fermi energy (states/eV/f.u.): 2.71
Spin magnetization (μB/cell): 0.00
E_form (uncorrected) (eV/atom): -1.742
Electronic total energy (Ry/atom): -0.3946
V (Å³/cell): 214.23

No. 21
Compound: K4PrDy3Se8
Source: Alexandria
Functional: PBE-GGA
Structure: optimized geometry

extended XYZ file:
```
16
Lattice="-3.094 -5.900 5.299 8.365 -1.325 3.409 -3.138 7.912 0.139" Properties=species:S:1:pos:R:3 pbc="T T T"
K -1.547 -2.950 2.650
K -3.116 1.006 2.719
K 0.000 0.000 0.000
K -1.569 3.956 0.069
Pr 4.182 -0.662 1.705
Dy 2.635 -3.612 4.354
Dy 1.066 0.344 4.424
Dy 2.613 3.293 1.774
Se 2.140 5.300 3.820
Se 3.668 1.447 3.753
Se -0.010 2.240 2.489
Se 0.633 2.427 6.401
Se 1.499 -1.740 2.446
Se 2.142 -1.553 6.359
Se -1.536 -0.760 5.095
Se -0.007 -4.613 5.027
```

Properties
DOS at the Fermi energy (states/eV/f.u.): 0.00
Spin magnetization (μB/cell): 0.00
E_form (uncorrected) (eV/atom): -1.757
Electronic total energy (Ry/atom): -0.3627
V (Å³/cell): 482.66